HoErSbAs PBE-GGA relaxed; symmetry = No. 160; spin magnetization = 0.00 Bohr magnetons per cell; electronic total energy = -5.674 eV per atom; formation energy without anion corrections = -1.20 eV per atom; DOS at the Fermi energy = 0.2142 states/eV per atom
1.0
4.1839 -0.0008 0.0000
-2.0917 3.6241 0.0001
-2.0909 -1.2071 7.1477
Er Sb As Ho
1 1 1 1
Direct
0.3180 0.5570 0.8900
0.4720 0.1340 0.6217
0.1323 0.9641 0.1112
0.9556 0.3758 0.3467

CaAgTe4 PBE-GGA relaxed; symmetry = No. 216; spin magnetization = 0.00 Bohr magnetons per cell; electronic total energy = -2.883 eV per atom; formation energy without anion corrections = 0.02 eV per atom; DOS at the Fermi energy = 0.4222 states/eV per atom
1.0
4.2688 1.6508 4.4692
-1.1661 4.9686 3.8567
-1.3002 -0.9880 6.1850
Te Ag Ca
4 1 1
Direct
0.3756 0.8731 0.3756
0.8731 0.3756 0.3756
0.3756 0.3756 0.8731
0.3756 0.3756 0.3756
0.7500 0.7500 0.7500
0.0000 0.0000 0.0000

Pm2Sc4Si3H2 PBE-GGA relaxed; symmetry = No. 139; spin magnetization = 1.08 Bohr magnetons per cell; electronic total energy = -5.882 eV per atom; DOS at the Fermi energy = 0.8735 states/eV per atom
1.0
4.3196 0.0000 0.0000
0.0000 4.3196 0.0000
-2.1598 -2.1598 11.2706
Sc Si H Pm
4 3 2 2
Direct
0.0769 0.5769 0.1539
0.4231 0.9231 0.8461
0.5769 0.0769 0.1539
0.9231 0.4231 0.8461
0.0000 0.0000 0.0000
0.8366 0.8366 0.6731
0.1634 0.1634 0.3269
0.5910 0.5910 0.1820
0.4090 0.4090 0.8180
0.3018 0.3018 0.6036
0.6982 0.6982 0.3964

VCSeBr2 PBE-GGA relaxed; symmetry = No. 123; spin magnetization = 0.26 Bohr magnetons per cell; electronic total energy = -3.641 eV per atom; formation energy without anion corrections = 1.39 eV per atom; excess energy over the best structure of this formula in the dataset = 258 meV/atom; DOS at the Fermi energy = 1.3807 states/eV per atom
1.0
4.6179 0.0000 0.0000
0.0000 4.6179 0.0000
0.0000 0.0000 4.4514
V Br C Se
1 2 1 1
Direct
0.5000 0.5000 0.5000
0.5000 0.0000 0.0000
0.0000 0.5000 0.0000
0.0000 0.0000 0.0000
0.0000 0.0000 0.5000

Pr4YTm15 PBE-GGA relaxed; symmetry = No. 123; spin magnetization = 0.00 Bohr magnetons per cell; electronic total energy = -4.603 eV per atom; DOS at the Fermi energy = 1.4469 states/eV per atom
1.0
5.0118 0.0000 0.0000
0.0000 5.0118 0.0000
0.0000 0.0000 24.9279
Tm Pr Y
15 4 1
Direct
0.5000 0.5000 0.8011
0.5000 0.0000 0.5000
0.5000 0.0000 0.2993
0.0000 0.5000 0.0987
0.0000 0.5000 0.2993
0.5000 0.0000 0.0987
0.5000 0.5000 0.1989
0.0000 0.5000 0.7007
0.5000 0.5000 0.0000
0.5000 0.0000 0.9013
0.5000 0.5000 0.3997
0.0000 0.5000 0.5000
0.0000 0.5000 0.9013
0.5000 0.0000 0.7007
0.5000 0.5000 0.6003
0.0000 0.0000 0.6005
0.0000 0.0000 0.3995
0.0000 0.0000 0.1995
0.0000 0.0000 0.8005
0.0000 0.0000 0.0000

La2YHo4 PBE-GGA relaxed; symmetry = No. 139; spin magnetization = 0.44 Bohr magnetons per cell; electronic total energy = -4.306 eV per atom; excess energy over the best structure of this formula in the dataset = 614 meV/atom; DOS at the Fermi energy = 1.3060 states/eV per atom
1.0
-4.0288 3.2468 1.9551
-3.3808 -4.3684 0.2879
6.4014 -0.9903 7.0114
La Ho Y
2 4 1
Direct
0.6262 0.6262 0.2523
0.3738 0.3738 0.7477
0.5000 0.0000 0.0000
0.1753 0.1753 0.3506
0.8247 0.8247 0.6494
0.0000 0.5000 0.0000
0.0000 0.0000 0.0000

VAg2PdS PBE-GGA relaxed; symmetry = No. 123; spin magnetization = 3.14 Bohr magnetons per cell; electronic total energy = -3.627 eV per atom; formation energy without anion corrections = 1.20 eV per atom; DOS at the Fermi energy = 1.0261 states/eV per atom
1.0
-0.4760 4.3730 2.3724
-4.8845 -0.8636 0.6119
0.8650 -2.0681 3.9856
Ag Pd S V
2 1 1 1
Direct
0.0000 0.5000 0.0000
0.5000 0.0000 0.0000
0.0000 0.0000 0.5000
0.5000 0.5000 0.5000
0.0000 0.0000 0.0000

Tb2PrSmHo4 PBE-GGA relaxed; symmetry = No. 74; spin magnetization = 6.14 Bohr magnetons per cell; electronic total energy = -4.207 eV per atom; DOS at the Fermi energy = 2.2029 states/eV per atom
1.0
-8.7720 1.8680 -3.1659
2.4696 -2.2267 -8.9109
3.1811 -5.3416 10.0319
Tb Ho Sm Pr
4 8 2 2
Direct
0.0000 0.0000 0.5000
0.5000 0.5000 0.0000
0.5000 0.0000 0.0000
0.5000 0.0000 0.5000
0.2512 0.2494 0.9972
0.7487 0.7506 0.0028
0.2475 0.7537 0.5004
0.7494 0.7513 0.4972
0.2506 0.2488 0.5028
0.2537 0.7475 0.0004
0.7463 0.2525 0.9996
0.7525 0.2463 0.4996
0.0000 0.5000 0.5000
0.0000 0.5000 0.0000
0.0000 0.0000 0.0000
0.5000 0.5000 0.5000

CsHoSb2Au2 PBE-GGA relaxed; symmetry = No. 164; spin magnetization = 0.00 Bohr magnetons per cell; electronic total energy = -4.067 eV per atom; formation energy without anion corrections = -0.69 eV per atom; DOS at the Fermi energy = 0.3001 states/eV per atom
1.0
4.6835 0.0000 0.0000
-2.3417 4.0560 0.0000
0.0000 0.0000 9.8405
Ho Sb Au Cs
1 2 2 1
Direct
0.0000 0.0000 0.5000
0.6667 0.3333 0.2894
0.3333 0.6667 0.7106
0.6667 0.3333 0.6555
0.3333 0.6667 0.3445
0.0000 0.0000 0.0000

InBi PBE-GGA relaxed; symmetry = No. 223; spin magnetization = 0.00 Bohr magnetons per cell; electronic total energy = -3.190 eV per atom; DOS at the Fermi energy = 0.2149 states/eV per atom
1.0
-5.4705 -5.0631 -3.9523
6.4197 -4.1425 -3.5789
0.2072 -5.3279 6.5386
In Bi
6 6
Direct
0.2500 0.0000 0.5000
0.0000 0.5000 0.2500
0.7500 0.0000 0.5000
0.5000 0.7500 0.0000
0.0000 0.5000 0.7500
0.5000 0.2500 0.0000
0.7500 0.5000 0.0000
0.0000 0.2500 0.5000
0.2500 0.5000 0.0000
0.5000 0.0000 0.7500
0.5000 0.0000 0.2500
0.0000 0.7500 0.5000

As2BrCl PBE-GGA relaxed; symmetry = No. 8; spin magnetization = 0.00 Bohr magnetons per cell; electronic total energy = -3.521 eV per atom; formation energy without anion corrections = -0.32 eV per atom; excess energy over the best structure of this formula in the dataset = 4 meV/atom
1.0
6.2152 -0.0341 -0.0073
5.1174 3.5274 -0.0073
0.5337 0.1645 6.1564
As Cl Br
2 1 1
Direct
0.0944 0.0944 0.0058
0.6627 0.6627 0.7451
0.2529 0.2529 0.1756
0.4900 0.4900 0.5734

BeTc2Os PBE-GGA relaxed; symmetry = No. 123; spin magnetization = 0.00 Bohr magnetons per cell; electronic total energy = -8.686 eV per atom; DOS at the Fermi energy = 1.2663 states/eV per atom
1.0
-0.1312 2.9444 2.5385
1.0310 -2.3002 2.7212
3.5609 0.7646 -0.7029
Os Be Tc
1 1 2
Direct
0.5000 0.0000 0.5000
0.5000 0.5000 0.0000
0.0000 0.5000 0.5000
0.0000 0.0000 0.0000

- Which formula does entry 10 have?
  InBi